VASP calculation (PBE) on a geometry-optimized NpRuRh structure.

Lattice parameters (Å, degrees): 3.5491 3.5491 5.0317 90.00 90.00 120.00
Space group P3m1 (No. 156)
Asymmetric unit:
Np (0.0000, 0.0000, 0.0000) [1 per cell]
Ru (0.6667, 0.3333, 0.3133) [1 per cell]
Rh (0.3333, 0.6667, 0.6627) [1 per cell]

The energy relative to the lowest polymorph listed for this composition comes out at 283.0 meV per atom.

=====

VASP calculation (PBE) on a geometry-optimized NpRuRh2 structure.

Lattice parameters (Å, degrees): 3.957 3.957 4.105 90.00 90.00 90.00
Space group P4/mmm (No. 123)
Asymmetric unit:
Np (0.000, 0.000, 0.000) [1 per cell]
Ru (0.500, 0.500, 0.000) [1 per cell]
Rh (0.000, 0.500, 0.500) [2 per cell]

The energy relative to the lowest polymorph listed for this composition comes out at 0.0 meV per atom.

=====

VASP calculation (PBE) on a geometry-optimized NpRuRh structure.

Lattice parameters (Å, degrees): 2.790 16.642 4.312 90.00 90.00 90.00
Space group Cmc2_1 (No. 36)
Asymmetric unit:
Np (0.000, 0.043, 0.000) [4 per cell]
Ru (0.000, 0.129, 0.493) [4 per cell]
Rh (0.000, 0.232, 0.993) [4 per cell]

The energy relative to the lowest polymorph listed for this composition comes out at 483.4 meV per atom.

=====

VASP calculation (PBE) on a geometry-optimized NpSi2RuRh structure.

Lattice parameters (Å, degrees): 4.092 4.092 9.912 90.00 90.00 90.00
Space group I-4m2 (No. 119)
Asymmetric unit:
Np (0.000, 0.000, 0.000) [2 per cell]
Si (0.000, 0.000, 0.376) [4 per cell]
Ru (0.000, 0.500, 0.750) [2 per cell]
Rh (0.000, 0.500, 0.250) [2 per cell]

The formation energy without anion corrections comes out at -686 meV per atom.

=====

VASP calculation (PBE) on a geometry-optimized NpSnRuRh structure.

Lattice parameters (Å, degrees): 6.653 6.653 6.653 90.00 90.00 90.00
Space group F-43m (No. 216)
Asymmetric unit:
Np (0.000, 0.000, 0.000) [4 per cell]
Sn (0.000, 0.000, 0.500) [4 per cell]
Ru (0.250, 0.250, 0.750) [4 per cell]
Rh (0.250, 0.250, 0.250) [4 per cell]

The value obtained for the total energy is -8.673 eV/atom.

=====

VASP calculation (PBE) on a geometry-optimized TbNpRuRh structure.

Lattice parameters (Å, degrees): 6.812 6.812 6.812 90.00 90.00 90.00
Space group F-43m (No. 216)
Asymmetric unit:
Tb (0.000, 0.000, 0.000) [4 per cell]
Np (0.000, 0.000, 0.500) [4 per cell]
Ru (0.250, 0.250, 0.250) [4 per cell]
Rh (0.250, 0.250, 0.750) [4 per cell]

The value obtained for the total energy is -8.866 eV/atom.

=====

VASP calculation (PBE) on a geometry-optimized NpTlRuRh structure.

Lattice parameters (Å, degrees): 6.686 6.686 6.686 90.00 90.00 90.00
Space group F-43m (No. 216)
Asymmetric unit:
Np (0.000, 0.000, 0.000) [4 per cell]
Tl (0.000, 0.000, 0.500) [4 per cell]
Ru (0.250, 0.250, 0.750) [4 per cell]
Rh (0.250, 0.250, 0.250) [4 per cell]

The value obtained for the total energy is -8.023 eV/atom.

=====

VASP calculation (PBE) on a geometry-optimized TmNpRuRh structure.

Lattice parameters (Å, degrees): 6.755 6.755 6.755 90.00 90.00 90.00
Space group F-43m (No. 216)
Asymmetric unit:
Tm (0.000, 0.000, 0.000) [4 per cell]
Np (0.000, 0.000, 0.500) [4 per cell]
Ru (0.250, 0.250, 0.250) [4 per cell]
Rh (0.250, 0.250, 0.750) [4 per cell]

The value obtained for the total energy is -8.903 eV/atom.

=====

Number 1: DOS(E_F) 5.5 states/eV/f.u., mass density 13.34 Mg/m³, total moment 2.04 μB/f.u.. Number 2: DOS(E_F) 7.4 states/eV/f.u., mass density 14.05 Mg/m³, total moment 1.12 μB/f.u.. Number 3: DOS(E_F) 5.9 states/eV/f.u., mass density 14.63 Mg/m³, total moment 0.79 μB/f.u.. Number 4: DOS(E_F) 13.6 states/eV/f.u., mass density 9.95 Mg/m³, total moment 3.80 μB/f.u.. Number 5: DOS(E_F) 6.8 states/eV/f.u., mass density 12.63 Mg/m³, total moment 3.51 μB/f.u.. Number 6: DOS(E_F) 5.6 states/eV/f.u., mass density 12.61 Mg/m³, total moment 3.21 μB/f.u.. Number 7: DOS(E_F) 5.4 states/eV/f.u., mass density 14.34 Mg/m³, total moment 3.13 μB/f.u.. Number 8: DOS(E_F) 5.0 states/eV/f.u., mass density 13.14 Mg/m³, total moment 3.24 μB/f.u..